[1]
The following is a PBE calculation of an optimized crystal structure of NbCrN, from the Alexandria database.

Output
* electronic total energy: -30.2 eV/f.u.
* ΔE to the lowest computed polymorph: 0.000 eV/atom
* energy relative to the elements, uncorrected: -208 kJ/mol of formula units
* calculated density: 7.72 Mg/m³
* magnetization: 0.000 μB per formula unit

Structure (POSCAR):
```
NbCrN
1.0
-1.159 0.027 -2.808
-2.795 -0.298 1.151
-0.646 7.378 0.338
N Nb Cr
2 2 2
Cartesian
-1.136 6.366 -1.113
-1.487 0.876 0.623
-0.695 1.327 -1.344
-1.929 5.915 0.853
-1.665 2.904 0.715
-0.959 4.338 -1.206
```


[2]
The following is a PBE calculation of an optimized crystal structure of Nb3Cr3N, from the Alexandria database.

Output
* electronic total energy: -70.2 eV/f.u.
* energy relative to the elements, uncorrected: -270 kJ/mol of formula units
* calculated density: 7.83 Mg/m³
* magnetization: 0.011 μB per formula unit

Structure (POSCAR):
```
Nb3Cr3N
1.0
8.135 0.000 0.000
4.068 7.045 0.000
4.068 2.348 6.642
Cr Nb N
12 12 4
Cartesian
10.169 5.871 4.152
13.475 7.780 5.501
8.135 4.697 4.880
12.203 7.045 3.423
8.135 6.166 2.802
9.408 3.962 2.802
8.135 2.348 4.152
10.930 7.780 5.501
12.203 5.576 5.501
6.101 5.871 4.152
6.863 3.962 2.802
8.135 4.697 0.830
4.068 0.534 0.378
5.639 3.255 0.378
8.135 7.580 5.360
5.639 3.255 5.360
5.639 1.441 2.943
2.497 3.255 0.378
4.068 4.162 2.943
8.135 1.814 1.283
2.497 1.441 2.943
10.632 3.255 5.360
10.632 6.138 1.283
5.639 6.138 1.283
2.034 1.174 0.830
4.068 4.697 0.830
4.068 2.348 4.152
6.101 1.174 0.830
```